A plane-wave DFT calculation with PBE-GGA was carried out for a relaxed BiH3Ru crystal.

Unit cell a=3.705 b=3.705 c=3.705 alpha=90.00 beta=90.00 gamma=90.00
Sites, in units of the cell vectors:
H: 0.000 0.500 0.000
H: 0.000 0.000 0.500
H: 0.500 0.000 0.000
Bi: 0.500 0.500 0.500
Ru: 0.000 0.000 0.000

Output
**Offset from the most stable computed form**: 119 meV/atom
**DFT total energy**: -22.0 eV per cell
**Total moment**: 0.00 μB/cell
**V**: 50.9 Å³ per cell